(1)
# PBE-GGA RbCF3, relaxed
# E_form (uncorrected): -0.8096 eV/atom
# spin magnetization: 0.000 μB per cell
# space group: Pm-3m, No. 221
# calculated total energy: -3.971 eV/atom
# energy above the most stable polymorph in this dataset: 0.000 eV/atom
# Fermi-level density of states: 0.0 states/eV/cell
data_RbCF3
_chemical_formula_sum 'Rb1 C1 F3'
_cell_length_a 4.0222
_cell_length_b 4.0222
_cell_length_c 4.0222
_cell_angle_alpha 90.00
_cell_angle_beta 90.00
_cell_angle_gamma 90.00
_space_group_name_H-M_alt 'P 1'
_space_group_IT_number 1
_space_group_name_Hall 'P 1'
loop_
_atom_site_label
_atom_site_type_symbol
_atom_site_fract_x
_atom_site_fract_y
_atom_site_fract_z
Rb1 Rb 0.0000 0.0000 0.0000
C1 C 0.5000 0.5000 0.5000
F1 F 0.0000 0.5000 0.5000
F2 F 0.5000 0.0000 0.5000
F3 F 0.5000 0.5000 0.0000


(2)
# PBE-GGA CeErSc2, relaxed
# spin magnetization: 0.004 μB per cell
# space group: R-3m, No. 166
# ΔH_f (0 K): 0.22 eV/atom
# calculated total energy: -5.570 eV/atom
# energy above the most stable polymorph in this dataset: 0.147 eV/atom
# Fermi-level density of states: 8.7 states/eV/cell
data_CeErSc2
_chemical_formula_sum 'Ce1 Er1 Sc2'
_cell_length_a 11.8007
_cell_length_b 11.8007
_cell_length_c 11.8007
_cell_angle_alpha 15.98
_cell_angle_beta 15.98
_cell_angle_gamma 15.98
_space_group_name_H-M_alt 'P 1'
_space_group_IT_number 1
_space_group_name_Hall 'P 1'
loop_
_atom_site_label
_atom_site_type_symbol
_atom_site_fract_x
_atom_site_fract_y
_atom_site_fract_z
Ce1 Ce 0.0000 0.0000 0.0000
Er1 Er 0.5000 0.5000 0.5000
Sc1 Sc 0.4088 0.4088 0.4088
Sc2 Sc 0.5912 0.5912 0.5912